(1)
# BaCaAg2 | Alexandria via LeMat-Bulk | PBE-GGA | relaxed
data_BaCaAg2
_cell_length_a 7.3758
_cell_length_b 7.3758
_cell_length_c 7.3758
_cell_angle_alpha 147.10
_cell_angle_beta 142.58
_cell_angle_gamma 50.67
_symmetry_space_group_name_H-M 'P 1'
_symmetry_Int_Tables_number 1
loop_
_symmetry_equiv_pos_as_xyz
'x,y,z'
loop_
_atom_site_label
_atom_site_type_symbol
_atom_site_fract_x
_atom_site_fract_y
_atom_site_fract_z
Ca1 Ca 0.7310 0.2310 0.5000
Ba1 Ba 0.4660 0.4660 0.0000
Ag1 Ag 0.0765 0.0765 0.0000
Ag2 Ag 0.2265 0.7265 0.5000
# Crystal system ... orthorhombic
# Offset from the most stable computed form ... 100.7 meV per atom
# ρ ... 4.95 g/cm3

(2)
# PrDy2Ga2Ag2 | Alexandria via LeMat-Bulk | PBE-GGA | relaxed
data_PrDy2Ga2Ag2
_cell_length_a 4.6666
_cell_length_b 4.6666
_cell_length_c 9.3819
_cell_angle_alpha 75.60
_cell_angle_beta 75.60
_cell_angle_gamma 60.00
_symmetry_space_group_name_H-M 'P 1'
_symmetry_Int_Tables_number 1
loop_
_symmetry_equiv_pos_as_xyz
'x,y,z'
loop_
_atom_site_label
_atom_site_type_symbol
_atom_site_fract_x
_atom_site_fract_y
_atom_site_fract_z
Ag1 Ag 0.5941 0.5941 0.2178
Ag2 Ag 0.4059 0.4059 0.7822
Ga1 Ga 0.2545 0.2545 0.2365
Ga2 Ga 0.7455 0.7455 0.7635
Dy1 Dy 0.8729 0.8729 0.3813
Dy2 Dy 0.1271 0.1271 0.6187
Pr1 Pr 0.0000 0.0000 0.0000
# Crystal system ... trigonal
# ρ ... 8.04 g/cm3

(3)
# V7Ga2Ge2 | Alexandria via LeMat-Bulk | PBE-GGA | relaxed
data_V7Ga2Ge2
_cell_length_a 6.3581
_cell_length_b 4.3907
_cell_length_c 6.3581
_cell_angle_alpha 69.81
_cell_angle_beta 97.09
_cell_angle_gamma 110.19
_symmetry_space_group_name_H-M 'P 1'
_symmetry_Int_Tables_number 1
loop_
_symmetry_equiv_pos_as_xyz
'x,y,z'
loop_
_atom_site_label
_atom_site_type_symbol
_atom_site_fract_x
_atom_site_fract_y
_atom_site_fract_z
Ga1 Ga 0.7790 0.5000 0.7790
Ga2 Ga 0.2210 0.5000 0.2210
V1 V 0.0000 0.0000 0.0000
V2 V 0.3901 0.1949 0.9997
V3 V 0.5004 0.7497 0.4996
V4 V 0.4996 0.2503 0.5004
V5 V 0.6099 0.8051 0.0003
V6 V 0.9997 0.8051 0.3901
V7 V 0.0003 0.1949 0.6099
Ge1 Ge 0.7787 0.2793 0.2213
Ge2 Ge 0.2213 0.7207 0.7787
# Crystal system ... orthorhombic
# ρ ... 6.81 g/cm3

Number 1: formation enthalpy at 0 K -0.17 eV per atom, size of the total moment 0.000 μB per cell. Number 2: formation enthalpy at 0 K -0.38 eV per atom, size of the total moment 0.000 μB per cell. Number 3: formation enthalpy at 0 K -0.03 eV per atom, size of the total moment 0.000 μB per cell.